No. 1
VASP calculation (PBE) on Zr2Tc2W after structural relaxation.

Cell lengths 6.508, 6.508, 4.496 Å; angles 90.00, 90.00, 90.00 degrees
Element x y z (fractional)
Zr 0.181 0.319 0.000
Zr 0.319 0.819 0.000
Zr 0.681 0.181 0.000
Zr 0.819 0.681 0.000
Tc 0.137 0.637 0.500
Tc 0.363 0.137 0.500
Tc 0.637 0.863 0.500
Tc 0.863 0.363 0.500
W 0.000 0.000 0.500
W 0.500 0.500 0.500

Output
ρ = 9.81 g cm⁻³
Symmetry = P4/mbm, No. 127
Magnetization = 0.0 μB per formula unit
Formation energy = 0.0 eV/f.u.

---

No. 2
VASP calculation (PBE) on YTc2 after structural relaxation.

Cell lengths 7.823, 7.823, 7.823 Å; angles 149.02, 149.02, 44.38 degrees
Element x y z (fractional)
Y 0.375 0.625 0.750
Y 0.625 0.375 0.250
Tc 0.041 0.791 0.250
Tc 0.209 0.959 0.250
Tc 0.791 0.041 0.750
Tc 0.959 0.209 0.750

Output
ΔE to the lowest computed polymorph = 0.3024 eV per atom
ρ = 7.48 g cm⁻³
Symmetry = I4_1/amd, No. 141
Magnetization = 0.0 μB per formula unit
Formation energy = 0.4 eV/f.u.

---

No. 3
VASP calculation (PBE) on YTc2 after structural relaxation.

Cell lengths 4.864, 4.864, 5.371 Å; angles 90.00, 90.00, 120.00 degrees
Element x y z (fractional)
Y 0.333 0.667 0.250
Y 0.667 0.333 0.750
Tc 0.000 0.000 0.000
Tc 0.000 0.000 0.500
Tc 0.333 0.667 0.750
Tc 0.667 0.333 0.250

Output
ΔE to the lowest computed polymorph = 0.7449 eV per atom
ρ = 8.60 g cm⁻³
Symmetry = P6_3/mmc, No. 194
Magnetization = 0.0 μB per formula unit
Formation energy = 1.7 eV/f.u.

---

No. 4
VASP calculation (PBE) on YTc3 after structural relaxation.

Cell lengths 4.056, 5.579, 6.745 Å; angles 90.00, 90.00, 90.00 degrees
Element x y z (fractional)
Y 0.250 0.250 0.081
Y 0.750 0.750 0.919
Tc 0.250 0.514 0.630
Tc 0.250 0.750 0.288
Tc 0.250 0.986 0.630
Tc 0.750 0.014 0.370
Tc 0.750 0.250 0.712
Tc 0.750 0.486 0.370

Output
ΔE to the lowest computed polymorph = 0.0102 eV per atom
ρ = 8.33 g cm⁻³
Symmetry = Pmmn, No. 59
Magnetization = 0.0 μB per formula unit
Formation energy = 0.8 eV/f.u.

---

No. 5
VASP calculation (PBE) on YTc after structural relaxation.

Cell lengths 4.755, 4.755, 4.755 Å; angles 40.86, 40.86, 40.86 degrees
Element x y z (fractional)
Y 0.000 0.000 0.000
Tc 0.500 0.500 0.500

Output
ρ = 7.47 g cm⁻³
Symmetry = R-3m, No. 166
Magnetization = 0.0 μB per formula unit
Formation energy = 0.9 eV/f.u.

---

No. 6
VASP calculation (PBE) on Y4Tc3 after structural relaxation.

Cell lengths 5.351, 5.351, 6.247 Å; angles 90.00, 90.00, 120.00 degrees
Element x y z (fractional)
Y 0.000 0.000 0.244
Y 0.000 0.000 0.756
Y 0.333 0.667 0.500
Y 0.667 0.333 0.500
Tc 0.000 0.500 0.000
Tc 0.500 0.000 0.000
Tc 0.500 0.500 0.000

Output
ΔE to the lowest computed polymorph = 0.0269 eV per atom
ρ = 6.96 g cm⁻³
Symmetry = P6/mmm, No. 191
Magnetization = 0.0 μB per formula unit
Formation energy = 0.5 eV/f.u.

---

No. 7
VASP calculation (PBE) on YTc after structural relaxation.

Cell lengths 7.200, 7.200, 7.200 Å; angles 109.47, 109.47, 109.47 degrees
Element x y z (fractional)
Y 0.000 0.000 0.574
Y 0.000 0.574 0.000
Y 0.426 0.426 0.426
Y 0.574 0.000 0.000
Tc 0.000 0.000 0.221
Tc 0.000 0.221 0.000
Tc 0.221 0.000 0.000
Tc 0.779 0.779 0.779

Output
ρ = 4.32 g cm⁻³
Symmetry = I-43m, No. 217
Magnetization = 1.4 μB per formula unit
Formation energy = 2.5 eV/f.u.

---

No. 8
VASP calculation (PBE) on Y5Tc after structural relaxation.

Cell lengths 6.390, 6.390, 8.432 Å; angles 110.82, 110.82, 32.68 degrees
Element x y z (fractional)
Y 0.000 0.000 0.000
Y 0.339 0.339 0.218
Y 0.368 0.368 0.632
Y 0.632 0.632 0.368
Y 0.661 0.661 0.782
Tc 0.000 0.000 0.500

Output
ΔE to the lowest computed polymorph = 0.0000 eV per atom
ρ = 5.22 g cm⁻³
Symmetry = C2/m, No. 12
Magnetization = 0.0 μB per formula unit
Formation energy = 0.0 eV/f.u.

---

No. 9
VASP calculation (PBE) on YTc after structural relaxation.

Cell lengths 5.746, 5.746, 3.916 Å; angles 90.00, 90.00, 131.99 degrees
Element x y z (fractional)
Y 0.143 0.857 0.750
Y 0.857 0.143 0.250
Tc 0.439 0.561 0.750
Tc 0.561 0.439 0.250

Output
ρ = 6.46 g cm⁻³
Symmetry = Cmcm, No. 63
Magnetization = 0.0 μB per formula unit
Formation energy = 0.0 eV/f.u.

---

No. 10
VASP calculation (PBE) on Y4Tc5 after structural relaxation.

Cell lengths 7.499, 7.499, 7.499 Å; angles 92.89, 92.89, 154.04 degrees
Element x y z (fractional)
Y 0.000 0.302 0.302
Y 0.000 0.698 0.698
Y 0.302 0.000 0.302
Y 0.698 0.000 0.698
Tc 0.000 0.000 0.000
Tc 0.331 0.331 0.663
Tc 0.331 0.669 0.000
Tc 0.669 0.331 0.000
Tc 0.669 0.669 0.337

Output
ΔE to the lowest computed polymorph = 0.0000 eV per atom
ρ = 7.81 g cm⁻³
Symmetry = I4/mmm, No. 139
Magnetization = 0.0 μB per formula unit
Formation energy = 2.8 eV/f.u.

---

No. 11
VASP calculation (PBE) on YTc after structural relaxation.

Cell lengths 7.536, 7.536, 7.536 Å; angles 154.30, 55.04, 132.21 degrees
Element x y z (fractional)
Y 0.000 0.000 0.000
Y 0.523 0.230 0.293
Y 0.937 0.230 0.707
Tc 0.201 0.815 0.386
Tc 0.430 0.815 0.614
Tc 0.500 0.500 0.000

Output
ρ = 6.81 g cm⁻³
Symmetry = Imm2, No. 44
Magnetization = 0.0 μB per formula unit
Formation energy = 0.4 eV/f.u.

---

No. 12
VASP calculation (PBE) on YTc3 after structural relaxation.

Cell lengths 4.595, 4.595, 3.212 Å; angles 90.00, 90.00, 90.00 degrees
Element x y z (fractional)
Y 0.000 0.000 0.000
Tc 0.000 0.500 0.500
Tc 0.500 0.000 0.500
Tc 0.500 0.500 0.000

Output
ΔE to the lowest computed polymorph = 0.0983 eV per atom
ρ = 9.38 g cm⁻³
Symmetry = P4/mmm, No. 123
Magnetization = 0.0 μB per formula unit
Formation energy = 1.1 eV/f.u.

---

No. 13
VASP calculation (PBE) on YTc after structural relaxation.

Cell lengths 5.900, 5.900, 5.900 Å; angles 146.54, 131.19, 60.47 degrees
Element x y z (fractional)
Y 0.361 0.111 0.250
Y 0.639 0.889 0.750
Tc 0.093 0.343 0.750
Tc 0.907 0.657 0.250

Output
ρ = 7.35 g cm⁻³
Symmetry = Imma, No. 74
Magnetization = 0.0 μB per formula unit
Formation energy = 0.1 eV/f.u.

---

No. 14
VASP calculation (PBE) on Y5Tc after structural relaxation.

Cell lengths 6.247, 6.247, 6.247 Å; angles 60.00, 60.00, 60.00 degrees
Element x y z (fractional)
Y 0.000 0.000 0.000
Y 0.128 0.624 0.624
Y 0.624 0.128 0.624
Y 0.624 0.624 0.128
Y 0.624 0.624 0.624
Tc 0.250 0.250 0.250

Output
ΔE to the lowest computed polymorph = 0.7392 eV per atom
ρ = 5.23 g cm⁻³
Symmetry = F-43m, No. 216
Magnetization = 2.4 μB per formula unit
Formation energy = 4.5 eV/f.u.